VASP calculation (PBE) on CaMg2Hg5 after structural relaxation.

Space-group type: No. 139
Energy of formation in eV per atom: -0.29

Lattice parameters (Å, degrees): 4.754 4.754 9.006 105.30 105.30 90.00
Fractional coordinates of all 8 atoms:
Hg 0.862 0.362 0.724
Hg 0.138 0.638 0.276
Hg 0.638 0.138 0.276
Hg 0.362 0.862 0.724
Hg 0.500 0.500 0.000
Mg 0.249 0.249 0.498
Mg 0.751 0.751 0.502
Ca 0.000 0.000 0.000

VASP calculation (PBE) on MgNb2CuRh after structural relaxation.

Space-group type: No. 123
Energy of formation in eV per atom: 0.88

Lattice parameters (Å, degrees): 4.630 4.625 4.630 90.00 90.00 90.00
Fractional coordinates of all 5 atoms:
Cu 0.000 0.000 0.000
Nb 0.500 0.000 0.000
Nb 0.000 0.000 0.500
Mg 0.500 0.500 0.500
Rh 0.000 0.500 0.000

VASP calculation (PBE) on Ca2GePd6Au after structural relaxation.

Space-group type: No. 225
Energy of formation in eV per atom: -0.16

Lattice parameters (Å, degrees): 6.874 6.874 6.874 60.00 60.00 90.00
Fractional coordinates of all 10 atoms:
Pd 0.737 0.737 0.000
Pd 0.737 0.737 0.527
Pd 0.263 0.737 0.000
Pd 0.263 0.263 0.000
Pd 0.263 0.263 0.473
Pd 0.737 0.263 0.000
Ca 0.750 0.250 0.500
Ca 0.250 0.750 0.500
Ge 0.500 0.500 0.000
Au 0.000 0.000 0.000

VASP calculation (PBE) on Be2SiIr after structural relaxation.

Energy relative to the elements, uncorrected in eV/atom: -0.38
Space-group type: No. 194

Lattice parameters (Å, degrees): 3.940 3.941 7.407 90.00 90.00 119.99
Fractional coordinates of all 8 atoms:
Si 0.000 0.001 0.250
Si 0.000 0.999 0.750
Be 0.667 0.333 0.426
Be 0.667 0.333 0.074
Be 0.333 0.667 0.574
Be 0.333 0.667 0.926
Ir 0.334 0.667 0.250
Ir 0.666 0.333 0.750

no.,size of the total moment (μB/cell)
1,0.0
2,0.0
3,0.0
4,0.0